Record 1
DFT (PBE-GGA) results for MgHg2Os after structural relaxation.

## Properties
- magnetic moment (μB per cell) = 0.00
- E_form (meV/atom) = 448
- E_tot (eV/cell) = -11.635
- mass density (g/cm3) = 13.7
- crystal system = monoclinic
- space-group type = Pm, No. 6

a b c (Å): 2.933 4.262 5.971
angles (deg): 90.00 90.09 90.00
Sites, in units of the cell vectors:
Mg  0.000  0.000  0.000
Hg  0.497  0.500  0.266
Hg  0.997  0.000  0.545
Os  0.498  0.500  0.790

Record 2
DFT (PBE-GGA) results for MgHg2Os after structural relaxation.

## Properties
- magnetic moment (μB per cell) = 0.00
- E_form (meV/atom) = 416
- E_tot (eV/cell) = -11.764
- mass density (g/cm3) = 13.3
- crystal system = trigonal
- space-group type = R3m, No. 160

a b c (Å): 10.005 10.005 10.005
angles (deg): 17.25 17.25 17.25
Sites, in units of the cell vectors:
Mg  0.000  0.000  0.000
Hg  0.248  0.248  0.248
Hg  0.485  0.485  0.485
Os  0.736  0.736  0.736

Record 3
DFT (PBE-GGA) results for MgHg2Os after structural relaxation.

## Properties
- magnetic moment (μB per cell) = 0.00
- E_form (meV/atom) = 492
- E_tot (eV/cell) = -11.459
- mass density (g/cm3) = 13.9
- crystal system = orthorhombic
- space-group type = Pmmm, No. 47

a b c (Å): 2.977 4.172 5.910
angles (deg): 90.00 90.00 90.00
Sites, in units of the cell vectors:
Mg  0.000  0.000  0.000
Hg  0.500  0.500  0.253
Hg  0.500  0.500  0.747
Os  0.000  0.000  0.500

Record 4
DFT (PBE-GGA) results for Mg2HgOs after structural relaxation.

## Properties
- magnetic moment (μB per cell) = 0.00
- E_form (meV/atom) = 161
- E_tot (eV/cell) = -14.076
- mass density (g/cm3) = 10.3
- crystal system = orthorhombic
- space-group type = Pmmm, No. 47

a b c (Å): 2.921 4.072 5.949
angles (deg): 90.00 90.00 90.00
Sites, in units of the cell vectors:
Mg  0.000  0.000  0.225
Mg  0.000  0.000  0.775
Hg  0.500  0.500  0.500
Os  0.500  0.500  0.000

Record 5
DFT (PBE-GGA) results for Mg2HgOs after structural relaxation.

## Properties
- magnetic moment (μB per cell) = 0.00
- E_form (meV/atom) = 162
- E_tot (eV/cell) = -14.073
- mass density (g/cm3) = 10.3
- crystal system = orthorhombic
- space-group type = Pmm2, No. 25

a b c (Å): 2.863 4.819 5.115
angles (deg): 90.00 90.00 90.00
Sites, in units of the cell vectors:
Mg  0.000  0.000  0.000
Mg  0.000  0.500  0.359
Hg  0.500  0.000  0.515
Os  0.500  0.500  0.867

Record 6
DFT (PBE-GGA) results for MgHg2Os after structural relaxation.

## Properties
- magnetic moment (μB per cell) = 0.00
- E_form (meV/atom) = 467
- E_tot (eV/cell) = -11.561
- mass density (g/cm3) = 13.6
- crystal system = tetragonal
- space-group type = P4mm, No. 99

a b c (Å): 3.497 3.497 6.133
angles (deg): 90.00 90.00 90.00
Sites, in units of the cell vectors:
Mg  0.000  0.000  0.000
Hg  0.000  0.000  0.449
Hg  0.500  0.500  0.735
Os  0.500  0.500  0.206